# Sr2Al12Pd7, optimized geometry, DFT GGA-PBE
data_Sr2Al12Pd7
_chemical_formula_sum 'Sr2 Al12 Pd7'
_cell_length_a 10.0716
_cell_length_b 10.0716
_cell_length_c 4.2169
_cell_angle_alpha 90.00
_cell_angle_beta 90.00
_cell_angle_gamma 120.00
_symmetry_space_group_name_H-M 'P -6'
_symmetry_Int_Tables_number 174
loop_
_symmetry_equiv_pos_as_xyz
'x,y,z'
'-x+y,-x,-z'
'-y,x-y,z'
'x,y,-z'
'-x+y,-x,z'
'-y,x-y,-z'
loop_
_atom_site_label
_atom_site_type_symbol
_atom_site_fract_x
_atom_site_fract_y
_atom_site_fract_z
_atom_site_occupancy
Sr1 Sr 0.0000 0.0000 0.0000 1
Sr2 Sr 0.3333 0.6667 0.5000 1
Al1 Al 0.0145 0.2812 0.5000 1
Al2 Al 0.1535 0.7659 0.0000 1
Al3 Al 0.3780 0.2071 0.0000 1
Al4 Al 0.5480 0.4144 0.5000 1
Pd1 Pd 0.0150 0.4564 0.0000 1
Pd2 Pd 0.2523 0.2464 0.5000 1
Pd3 Pd 0.6667 0.3333 0.0000 1
# - V: 370 Å³/cell
# - Total DFT energy (no corrections): -4.742 eV/atom
# - Total magnetic moment: 0.0 μB/cell

=====

# ErZn6Pd4, optimized geometry, DFT GGA-PBE
data_ErZn6Pd4
_chemical_formula_sum 'Er2 Zn12 Pd8'
_cell_length_a 6.617
_cell_length_b 6.617
_cell_length_c 9.413
_cell_angle_alpha 90.00
_cell_angle_beta 90.00
_cell_angle_gamma 90.00
_symmetry_space_group_name_H-M 'I -4 2 m'
_symmetry_Int_Tables_number 121
_symmetry_space_group_name_Hall 'I -4 2'
loop_
_atom_site_label
_atom_site_type_symbol
_atom_site_fract_x
_atom_site_fract_y
_atom_site_fract_z
_atom_site_occupancy
Er1 Er 0.000 0.000 0.000 1
Zn1 Zn 0.000 0.500 0.000 1
Zn2 Zn 0.170 0.170 0.298 1
Pd1 Pd 0.186 0.186 0.576 1
# - V: 412 Å³/cell
# - Total DFT energy (no corrections): -3.355 eV/atom
# - Total magnetic moment: 0.0 μB/cell